(1)
Entry from the Alexandria database: an optimized crystal structure of MgTaCl2 (PBE).

**Relative energy among the computed polymorphs**: 12 kJ/mol of formula units
**DFT total energy**: -4.8199 eV per atom
**Space-group type**: P4mm
**Crystal system**: tetragonal

abc: 3.099 3.099 8.868
angles: 90.00 90.00 90.00
Fractional coordinates of all 4 atoms:
Mg: 0.000 0.000 0.000
Ta: 0.500 0.500 0.255
Cl: 0.000 0.000 0.427
Cl: 0.500 0.500 0.838



(2)
Entry from the Alexandria database: an optimized crystal structure of CsLiPmCl6 (PBE).

**DFT total energy**: -3.8896 eV per atom
**Space-group type**: P1
**Crystal system**: triclinic

abc: 5.276 7.073 8.472
angles: 101.33 91.09 98.60
Fractional coordinates of all 9 atoms:
Cs: 0.000 0.000 0.000
Li: 0.746 0.775 0.443
Pm: 0.541 0.271 0.538
Cl: 0.013 0.128 0.556
Cl: 0.320 0.436 0.295
Cl: 0.495 0.941 0.296
Cl: 0.534 0.210 0.837
Cl: 0.649 0.657 0.679
Cl: 0.825 0.448 0.294



(3)
Entry from the Alexandria database: an optimized crystal structure of Dy5Te2Rh2 (PBE).

**DFT total energy**: -5.9099 eV per atom
**Space-group type**: Cmce
**Crystal system**: orthorhombic

abc: 8.719 8.719 7.756
angles: 90.00 90.00 53.18
Fractional coordinates of all 18 atoms:
Dy: 0.000 0.000 0.000
Dy: 0.043 0.723 0.658
Dy: 0.223 0.543 0.158
Dy: 0.277 0.957 0.658
Dy: 0.457 0.777 0.158
Dy: 0.500 0.500 0.500
Dy: 0.543 0.223 0.842
Dy: 0.723 0.043 0.342
Dy: 0.777 0.457 0.842
Dy: 0.957 0.277 0.342
Te: 0.210 0.210 0.000
Te: 0.290 0.290 0.500
Te: 0.710 0.710 0.500
Te: 0.790 0.790 0.000
Rh: 0.139 0.861 0.362
Rh: 0.361 0.639 0.862
Rh: 0.639 0.361 0.138
Rh: 0.861 0.139 0.638



(4)
Entry from the Alexandria database: an optimized crystal structure of Cs2GaHg (PBE).

**Relative energy among the computed polymorphs**: 6 kJ/mol of formula units
**DFT total energy**: -1.1691 eV per atom
**Space-group type**: Fm-3m
**Crystal system**: cubic
**Energy relative to the elements**: 0.090 eV per atom

abc: 9.033 9.033 9.033
angles: 90.00 90.00 90.00
Fractional coordinates of all 16 atoms:
Cs: 0.250 0.250 0.250
Cs: 0.250 0.250 0.750
Cs: 0.250 0.750 0.250
Cs: 0.250 0.750 0.750
Cs: 0.750 0.250 0.250
Cs: 0.750 0.250 0.750
Cs: 0.750 0.750 0.250
Cs: 0.750 0.750 0.750
Ga: 0.000 0.000 0.000
Ga: 0.000 0.500 0.500
Ga: 0.500 0.000 0.500
Ga: 0.500 0.500 0.000
Hg: 0.000 0.000 0.500
Hg: 0.000 0.500 0.000
Hg: 0.500 0.000 0.000
Hg: 0.500 0.500 0.500



(5)
Entry from the Alexandria database: an optimized crystal structure of AlRhCl2 (PBE).

**Relative energy among the computed polymorphs**: 14 kJ/mol of formula units
**DFT total energy**: -4.2534 eV per atom
**Space-group type**: C2/m
**Crystal system**: monoclinic

abc: 13.867 3.197 4.002
angles: 90.00 96.02 90.00
Fractional coordinates of all 8 atoms:
Al: 0.000 0.000 0.000
Al: 0.500 0.500 0.000
Rh: 0.000 0.500 0.500
Rh: 0.500 0.000 0.500
Cl: 0.139 0.500 0.212
Cl: 0.361 0.000 0.788
Cl: 0.639 0.000 0.212
Cl: 0.861 0.500 0.788



(6)
Entry from the Alexandria database: an optimized crystal structure of RbCdClF2 (PBE).

**DFT total energy**: -3.5723 eV per atom
**Space-group type**: P4/mmm
**Crystal system**: tetragonal

abc: 4.564 4.564 5.249
angles: 90.00 90.00 90.00
Fractional coordinates of all 5 atoms:
Rb: 0.000 0.000 0.000
Cd: 0.500 0.500 0.500
Cl: 0.500 0.500 0.000
F: 0.000 0.500 0.500
F: 0.500 0.000 0.500



(7)
Entry from the Alexandria database: an optimized crystal structure of PrErCuPd (PBE).

**Relative energy among the computed polymorphs**: 13 kJ/mol of formula units
**DFT total energy**: -5.1550 eV per atom
**Space-group type**: F-43m
**Crystal system**: cubic
**Energy relative to the elements**: -0.497 eV per atom

abc: 7.113 7.113 7.113
angles: 90.00 90.00 90.00
Fractional coordinates of all 16 atoms:
Pr: 0.000 0.000 0.000
Pr: 0.000 0.500 0.500
Pr: 0.500 0.000 0.500
Pr: 0.500 0.500 0.000
Er: 0.000 0.000 0.500
Er: 0.000 0.500 0.000
Er: 0.500 0.000 0.000
Er: 0.500 0.500 0.500
Cu: 0.250 0.250 0.750
Cu: 0.250 0.750 0.250
Cu: 0.750 0.250 0.250
Cu: 0.750 0.750 0.750
Pd: 0.250 0.250 0.250
Pd: 0.250 0.750 0.750
Pd: 0.750 0.250 0.750
Pd: 0.750 0.750 0.250



(8)
Entry from the Alexandria database: an optimized crystal structure of LiMn2Cl8 (PBE).

**DFT total energy**: -4.1379 eV per atom
**Space-group type**: C2/m
**Crystal system**: monoclinic

abc: 7.614 7.614 6.281
angles: 99.91 99.91 75.12
Fractional coordinates of all 11 atoms:
Li: 0.000 0.000 0.000
Mn: 0.196 0.196 0.691
Mn: 0.804 0.804 0.309
Cl: 0.073 0.721 0.194
Cl: 0.195 0.195 0.346
Cl: 0.279 0.927 0.806
Cl: 0.375 0.375 0.819
Cl: 0.625 0.625 0.181
Cl: 0.721 0.073 0.194
Cl: 0.805 0.805 0.654
Cl: 0.927 0.279 0.806



(9)
Entry from the Alexandria database: an optimized crystal structure of DyEr3Pb2C (PBE).

**DFT total energy**: -5.5339 eV per atom
**Space-group type**: Immm
**Crystal system**: orthorhombic
**Energy relative to the elements**: -0.544 eV per atom

abc: 4.784 4.819 15.964
angles: 90.00 90.00 90.00
Fractional coordinates of all 14 atoms:
Dy: 0.000 0.000 0.000
Dy: 0.500 0.500 0.500
Er: 0.000 0.000 0.500
Er: 0.000 0.500 0.156
Er: 0.000 0.500 0.844
Er: 0.500 0.000 0.344
Er: 0.500 0.000 0.656
Er: 0.500 0.500 0.000
Pb: 0.000 0.500 0.357
Pb: 0.000 0.500 0.643
Pb: 0.500 0.000 0.143
Pb: 0.500 0.000 0.857
C: 0.000 0.500 0.000
C: 0.500 0.000 0.500



(10)
Entry from the Alexandria database: an optimized crystal structure of KSb2ICl (PBE).

**Relative energy among the computed polymorphs**: 0 kJ/mol of formula units
**DFT total energy**: -2.5367 eV per atom
**Space-group type**: P4/mmm
**Crystal system**: tetragonal

abc: 5.231 5.231 7.817
angles: 90.00 90.00 90.00
Fractional coordinates of all 5 atoms:
K: 0.000 0.000 0.000
Sb: 0.000 0.500 0.500
Sb: 0.500 0.000 0.500
I: 0.500 0.500 0.000
Cl: 0.500 0.500 0.500



(11)
Entry from the Alexandria database: an optimized crystal structure of HfGaNiRu (PBE).

**DFT total energy**: -7.5472 eV per atom
**Space-group type**: F-43m
**Crystal system**: cubic
**Energy relative to the elements**: -0.538 eV per atom

abc: 6.205 6.205 6.205
angles: 90.00 90.00 90.00
Fractional coordinates of all 16 atoms:
Hf: 0.000 0.000 0.000
Hf: 0.000 0.500 0.500
Hf: 0.500 0.000 0.500
Hf: 0.500 0.500 0.000
Ga: 0.000 0.000 0.500
Ga: 0.000 0.500 0.000
Ga: 0.500 0.000 0.000
Ga: 0.500 0.500 0.500
Ni: 0.250 0.250 0.750
Ni: 0.250 0.750 0.250
Ni: 0.750 0.250 0.250
Ni: 0.750 0.750 0.750
Ru: 0.250 0.250 0.250
Ru: 0.250 0.750 0.750
Ru: 0.750 0.250 0.750
Ru: 0.750 0.750 0.250



(12)
Entry from the Alexandria database: an optimized crystal structure of Dy3Sn2Pb (PBE).

**Relative energy among the computed polymorphs**: 0 kJ/mol of formula units
**DFT total energy**: -4.8625 eV per atom
**Space-group type**: Immm
**Crystal system**: orthorhombic
**Energy relative to the elements**: -0.609 eV per atom

abc: 4.427 4.539 16.970
angles: 90.00 90.00 90.00
Fractional coordinates of all 12 atoms:
Dy: 0.000 0.000 0.000
Dy: 0.000 0.500 0.174
Dy: 0.000 0.500 0.826
Dy: 0.500 0.000 0.326
Dy: 0.500 0.000 0.674
Dy: 0.500 0.500 0.500
Sn: 0.000 0.500 0.356
Sn: 0.000 0.500 0.644
Sn: 0.500 0.000 0.144
Sn: 0.500 0.000 0.856
Pb: 0.000 0.000 0.500
Pb: 0.500 0.500 0.000



(13)
Entry from the Alexandria database: an optimized crystal structure of Dy2ThZn3 (PBE).

**Relative energy among the computed polymorphs**: 0 kJ/mol of formula units
**DFT total energy**: -3.6880 eV per atom
**Space-group type**: P4/mmm
**Crystal system**: tetragonal
**Energy relative to the elements**: -0.280 eV per atom

abc: 3.583 3.583 10.887
angles: 90.00 90.00 90.00
Fractional coordinates of all 6 atoms:
Dy: 0.000 0.000 0.162
Dy: 0.000 0.000 0.838
Th: 0.000 0.000 0.500
Zn: 0.500 0.500 0.000
Zn: 0.500 0.500 0.320
Zn: 0.500 0.500 0.680



(14)
Entry from the Alexandria database: an optimized crystal structure of Rb2PbCl2F4 (PBE).

**DFT total energy**: -3.8995 eV per atom
**Space-group type**: I4/mmm
**Crystal system**: tetragonal

abc: 6.634 6.634 6.634
angles: 116.18 116.18 96.75
Fractional coordinates of all 9 atoms:
Rb: 0.250 0.750 0.500
Rb: 0.750 0.250 0.500
Pb: 0.000 0.000 0.000
Cl: 0.283 0.283 0.000
Cl: 0.717 0.717 0.000
F: 0.215 0.215 0.430
F: 0.215 0.785 0.000
F: 0.785 0.215 0.000
F: 0.785 0.785 0.570



(15)
Entry from the Alexandria database: an optimized crystal structure of Al2VCr3 (PBE).

**DFT total energy**: -7.4348 eV per atom
**Space-group type**: Cmcm
**Crystal system**: orthorhombic
**Energy relative to the elements**: 0.144 eV per atom

abc: 5.752 5.752 4.821
angles: 90.00 90.00 95.91
Fractional coordinates of all 12 atoms:
Al: 0.066 0.605 0.750
Al: 0.395 0.934 0.750
Al: 0.605 0.066 0.250
Al: 0.934 0.395 0.250
V: 0.266 0.734 0.250
V: 0.734 0.266 0.750
Cr: 0.000 0.000 0.000
Cr: 0.000 0.000 0.500
Cr: 0.326 0.326 0.000
Cr: 0.326 0.326 0.500
Cr: 0.674 0.674 0.000
Cr: 0.674 0.674 0.500



(16)
Entry from the Alexandria database: an optimized crystal structure of Mg8Ga6Sn (PBE).

**DFT total energy**: -2.3519 eV per atom
**Space-group type**: R-3
**Crystal system**: trigonal
**Energy relative to the elements**: -0.024 eV per atom

abc: 7.601 7.601 7.601
angles: 63.81 63.81 63.81
Fractional coordinates of all 15 atoms:
Mg: 0.068 0.709 0.383
Mg: 0.165 0.165 0.165
Mg: 0.291 0.617 0.932
Mg: 0.383 0.068 0.709
Mg: 0.617 0.932 0.291
Mg: 0.709 0.383 0.068
Mg: 0.835 0.835 0.835
Mg: 0.932 0.291 0.617
Ga: 0.089 0.440 0.783
Ga: 0.217 0.911 0.560
Ga: 0.440 0.783 0.089
Ga: 0.560 0.217 0.911
Ga: 0.783 0.089 0.440
Ga: 0.911 0.560 0.217
Sn: 0.500 0.500 0.500



(17)
Entry from the Alexandria database: an optimized crystal structure of ReN2 (PBE).

**DFT total energy**: -9.0116 eV per atom
**Space-group type**: Pa-3
**Crystal system**: cubic

abc: 4.964 4.964 4.964
angles: 90.00 90.00 90.00
Fractional coordinates of all 12 atoms:
Re: 0.000 0.000 0.000
Re: 0.000 0.500 0.500
Re: 0.500 0.000 0.500
Re: 0.500 0.500 0.000
N: 0.145 0.645 0.855
N: 0.145 0.855 0.355
N: 0.355 0.145 0.855
N: 0.355 0.355 0.355
N: 0.645 0.645 0.645
N: 0.645 0.855 0.145
N: 0.855 0.145 0.645
N: 0.855 0.355 0.145



(18)
Entry from the Alexandria database: an optimized crystal structure of KH2Rh (PBE).

**Relative energy among the computed polymorphs**: 0 kJ/mol of formula units
**DFT total energy**: -3.7998 eV per atom
**Space-group type**: I-42d
**Crystal system**: tetragonal

abc: 5.562 5.562 7.409
angles: 90.00 90.00 90.00
Fractional coordinates of all 16 atoms:
K: 0.000 0.000 0.000
K: 0.000 0.500 0.250
K: 0.500 0.000 0.750
K: 0.500 0.500 0.500
H: 0.079 0.250 0.625
H: 0.250 0.579 0.875
H: 0.250 0.921 0.375
H: 0.421 0.250 0.125
H: 0.579 0.750 0.125
H: 0.750 0.079 0.375
H: 0.750 0.421 0.875
H: 0.921 0.750 0.625
Rh: 0.000 0.000 0.500
Rh: 0.000 0.500 0.750
Rh: 0.500 0.000 0.250
Rh: 0.500 0.500 0.000



(19)
Entry from the Alexandria database: an optimized crystal structure of BeIr2Se (PBE).

**Relative energy among the computed polymorphs**: 134 kJ/mol of formula units
**DFT total energy**: -5.8511 eV per atom
**Space-group type**: I-42d
**Crystal system**: tetragonal

abc: 4.986 4.986 11.361
angles: 90.00 90.00 90.00
Fractional coordinates of all 16 atoms:
Be: 0.000 0.000 0.000
Be: 0.000 0.500 0.250
Be: 0.500 0.000 0.750
Be: 0.500 0.500 0.500
Ir: 0.207 0.250 0.125
Ir: 0.250 0.707 0.375
Ir: 0.250 0.793 0.875
Ir: 0.293 0.250 0.625
Ir: 0.707 0.750 0.625
Ir: 0.750 0.207 0.875
Ir: 0.750 0.293 0.375
Ir: 0.793 0.750 0.125
Se: 0.000 0.000 0.500
Se: 0.000 0.500 0.750
Se: 0.500 0.000 0.250
Se: 0.500 0.500 0.000



(20)
Entry from the Alexandria database: an optimized crystal structure of Pa3Fe7Co2 (PBE).

**DFT total energy**: -8.6622 eV per atom
**Space-group type**: R-3m
**Crystal system**: trigonal
**Energy relative to the elements**: -0.167 eV per atom

abc: 8.898 8.898 8.898
angles: 31.69 31.69 31.69
Fractional coordinates of all 12 atoms:
Pa: 0.000 0.000 0.000
Pa: 0.142 0.142 0.142
Pa: 0.858 0.858 0.858
Fe: 0.081 0.582 0.582
Fe: 0.418 0.418 0.919
Fe: 0.418 0.919 0.418
Fe: 0.500 0.500 0.500
Fe: 0.582 0.081 0.582
Fe: 0.582 0.582 0.081
Fe: 0.919 0.418 0.418
Co: 0.333 0.333 0.333
Co: 0.667 0.667 0.667